# 1
Computed, not measured: a geometry-optimized MnAg2Ir structure at the GGA-PBE level of DFT.

Its space-group type is R3m, No. 160. As for the energy above the most stable polymorph in this dataset: 0.030 eV/atom. The energy of formation from the pure elements comes out at 0.1784 eV per atom.

Cell lengths 2.8468, 2.8468, 27.4424 Å; angles 90.00, 90.00, 120.00 degrees
Fractional positions:
Mn  0.0000  0.0000  0.0000
Mn  0.3333  0.6667  0.6667
Mn  0.6667  0.3333  0.3333
Ag  0.0000  0.0000  0.5069
Ag  0.0000  0.0000  0.7501
Ag  0.3333  0.6667  0.1736
Ag  0.3333  0.6667  0.4168
Ag  0.6667  0.3333  0.0835
Ag  0.6667  0.3333  0.8402
Ir  0.0000  0.0000  0.2624
Ir  0.3333  0.6667  0.9291
Ir  0.6667  0.3333  0.5958

=====

# 2
Computed, not measured: a geometry-optimized DyMg3Ag2 structure at the GGA-PBE level of DFT.

Its space-group type is C2/m, No. 12. The energy of formation from the pure elements comes out at -0.1686 eV per atom.

Cell lengths 8.3781, 8.3781, 8.2515 Å; angles 112.42, 112.42, 30.90 degrees
Fractional positions:
Dy  0.1189  0.1189  0.1536
Dy  0.8811  0.8811  0.8464
Mg  0.0512  0.0512  0.6910
Mg  0.3130  0.3130  0.1010
Mg  0.3491  0.3491  0.5078
Mg  0.6509  0.6509  0.4922
Mg  0.6870  0.6870  0.8990
Mg  0.9488  0.9488  0.3090
Ag  0.2328  0.2328  0.7178
Ag  0.4937  0.4937  0.1639
Ag  0.5063  0.5063  0.8361
Ag  0.7672  0.7672  0.2822

=====

# 3
Computed, not measured: a geometry-optimized SrPrTeSe structure at the GGA-PBE level of DFT.

Its space-group type is R3m, No. 160. For the formation energy without anion corrections, the calculation gives -1686 meV/atom.

Cell lengths 4.3715, 4.3715, 23.3397 Å; angles 90.00, 90.00, 120.00 degrees
Fractional positions:
Sr  0.0000  0.0000  0.0000
Sr  0.3333  0.6667  0.6667
Sr  0.6667  0.3333  0.3333
Pr  0.0000  0.0000  0.1829
Pr  0.3333  0.6667  0.8496
Pr  0.6667  0.3333  0.5163
Te  0.0000  0.0000  0.7628
Te  0.3333  0.6667  0.4295
Te  0.6667  0.3333  0.0962
Se  0.0000  0.0000  0.5889
Se  0.3333  0.6667  0.2556
Se  0.6667  0.3333  0.9223

=====

# 4
Computed, not measured: a geometry-optimized CaIr2Cl structure at the GGA-PBE level of DFT.

Its space-group type is R-3m, No. 166. As for the energy above the most stable polymorph in this dataset: 0.935 eV/atom. For the formation energy without anion corrections, the calculation gives 552 meV/atom.

Cell lengths 3.0056, 3.0056, 26.7181 Å; angles 90.00, 90.00, 120.00 degrees
Fractional positions:
Ca  0.0000  0.0000  0.0000
Ca  0.3333  0.6667  0.6667
Ca  0.6667  0.3333  0.3333
Ir  0.0000  0.0000  0.2438
Ir  0.0000  0.0000  0.7562
Ir  0.3333  0.6667  0.4229
Ir  0.3333  0.6667  0.9105
Ir  0.6667  0.3333  0.0895
Ir  0.6667  0.3333  0.5771
Cl  0.0000  0.0000  0.5000
Cl  0.3333  0.6667  0.1667
Cl  0.6667  0.3333  0.8333

=====

# 5
Computed, not measured: a geometry-optimized Y2Zn5PtRh2 structure at the GGA-PBE level of DFT.

Its space-group type is P4/mbm, No. 127. The energy of formation from the pure elements comes out at -0.5162 eV per atom.

Cell lengths 9.4824, 9.4824, 3.8979 Å; angles 90.00, 90.00, 90.00 degrees
Fractional positions:
Y  0.1782  0.3218  0.0000
Y  0.3218  0.8218  0.0000
Y  0.6782  0.1782  0.0000
Y  0.8218  0.6782  0.0000
Zn  0.0000  0.5000  0.5000
Zn  0.0554  0.8056  0.5000
Zn  0.1944  0.0554  0.5000
Zn  0.3056  0.5554  0.5000
Zn  0.4446  0.3056  0.5000
Zn  0.5000  0.0000  0.5000
Zn  0.5554  0.6944  0.5000
Zn  0.6944  0.4446  0.5000
Zn  0.8056  0.9446  0.5000
Zn  0.9446  0.1944  0.5000
Pt  0.0000  0.0000  0.0000
Pt  0.5000  0.5000  0.0000
Rh  0.1219  0.6219  0.0000
Rh  0.3781  0.1219  0.0000
Rh  0.6219  0.8781  0.0000
Rh  0.8781  0.3781  0.0000

=====

# 6
Computed, not measured: a geometry-optimized Sr2YAs structure at the GGA-PBE level of DFT.

Its space-group type is R-3m, No. 166. The energy of formation from the pure elements comes out at -0.3047 eV per atom.

Cell lengths 4.3013, 4.3013, 30.9301 Å; angles 90.00, 90.00, 120.00 degrees
Fractional positions:
Sr  0.0000  0.0000  0.2217
Sr  0.0000  0.0000  0.7783
Sr  0.3333  0.6667  0.4450
Sr  0.3333  0.6667  0.8883
Sr  0.6667  0.3333  0.1117
Sr  0.6667  0.3333  0.5550
Y  0.0000  0.0000  0.0000
Y  0.3333  0.6667  0.6667
Y  0.6667  0.3333  0.3333
As  0.0000  0.0000  0.5000
As  0.3333  0.6667  0.1667
As  0.6667  0.3333  0.8333

=====

# 7
Computed, not measured: a geometry-optimized Al2OsPb structure at the GGA-PBE level of DFT.

Its space-group type is P4/mmm, No. 123. The energy of formation from the pure elements comes out at 0.4421 eV per atom.

Cell lengths 4.6594, 4.6594, 3.2313 Å; angles 90.00, 90.00, 90.00 degrees
Fractional positions:
Al  0.0000  0.5000  0.0000
Al  0.5000  0.0000  0.0000
Os  0.0000  0.0000  0.5000
Pb  0.5000  0.5000  0.5000

=====

# 8
Computed, not measured: a geometry-optimized AcLaGaHg structure at the GGA-PBE level of DFT.

Its space-group type is P4mm, No. 99. As for the energy above the most stable polymorph in this dataset: 0.000 eV/atom. The energy of formation from the pure elements comes out at -0.5028 eV per atom.

Cell lengths 3.8821, 3.8821, 7.9436 Å; angles 90.00, 90.00, 90.00 degrees
Fractional positions:
Ac  0.0000  0.0000  0.0000
La  0.0000  0.0000  0.4702
Ga  0.5000  0.5000  0.2469
Hg  0.5000  0.5000  0.7207

=====

# 9
Computed, not measured: a geometry-optimized Ca2NdLu structure at the GGA-PBE level of DFT.

Its space-group type is P4/mmm, No. 123. As for the energy above the most stable polymorph in this dataset: 0.010 eV/atom. The energy of formation from the pure elements comes out at 0.1779 eV per atom.

Cell lengths 4.1268, 4.1268, 8.3990 Å; angles 90.00, 90.00, 90.00 degrees
Fractional positions:
Ca  0.0000  0.0000  0.2401
Ca  0.0000  0.0000  0.7599
Nd  0.5000  0.5000  0.5000
Lu  0.5000  0.5000  0.0000

=====

# 10
Computed, not measured: a geometry-optimized Hg2Se2I structure at the GGA-PBE level of DFT.

Its space-group type is P4/mbm, No. 127. As for the energy above the most stable polymorph in this dataset: 0.337 eV/atom. For the formation energy without anion corrections, the calculation gives 241 meV/atom.

Cell lengths 9.2769, 9.2769, 3.0520 Å; angles 90.00, 90.00, 90.00 degrees
Fractional positions:
Hg  0.1621  0.3379  0.0000
Hg  0.3379  0.8379  0.0000
Hg  0.6621  0.1621  0.0000
Hg  0.8379  0.6621  0.0000
Se  0.1399  0.6399  0.5000
Se  0.3601  0.1399  0.5000
Se  0.6399  0.8601  0.5000
Se  0.8601  0.3601  0.5000
I  0.0000  0.0000  0.0000
I  0.5000  0.5000  0.0000

=====

# 11
Computed, not measured: a geometry-optimized LiLuGaCo structure at the GGA-PBE level of DFT.

Its space-group type is F-43m, No. 216. The energy of formation from the pure elements comes out at -0.2695 eV per atom.

Cell lengths 6.2783, 6.2783, 6.2783 Å; angles 90.00, 90.00, 90.00 degrees
Fractional positions:
Li  0.0000  0.0000  0.0000
Li  0.0000  0.5000  0.5000
Li  0.5000  0.0000  0.5000
Li  0.5000  0.5000  0.0000
Lu  0.2500  0.2500  0.2500
Lu  0.2500  0.7500  0.7500
Lu  0.7500  0.2500  0.7500
Lu  0.7500  0.7500  0.2500
Ga  0.2500  0.2500  0.7500
Ga  0.2500  0.7500  0.2500
Ga  0.7500  0.2500  0.2500
Ga  0.7500  0.7500  0.7500
Co  0.0000  0.0000  0.5000
Co  0.0000  0.5000  0.0000
Co  0.5000  0.0000  0.0000
Co  0.5000  0.5000  0.5000

=====

# 12
Computed, not measured: a geometry-optimized Ba2LaSc structure at the GGA-PBE level of DFT.

Its space-group type is R-3m, No. 166. As for the energy above the most stable polymorph in this dataset: 0.168 eV/atom. The energy of formation from the pure elements comes out at 0.3354 eV per atom.

Cell lengths 3.8625, 3.8625, 38.1665 Å; angles 90.00, 90.00, 120.00 degrees
Fractional positions:
Ba  0.0000  0.0000  0.2444
Ba  0.0000  0.0000  0.7556
Ba  0.3333  0.6667  0.4222
Ba  0.3333  0.6667  0.9111
Ba  0.6667  0.3333  0.0889
Ba  0.6667  0.3333  0.5778
La  0.0000  0.0000  0.0000
La  0.3333  0.6667  0.6667
La  0.6667  0.3333  0.3333
Sc  0.0000  0.0000  0.5000
Sc  0.3333  0.6667  0.1667
Sc  0.6667  0.3333  0.8333